## K4TlP (PBE)

Data for a geometry-optimized K4TlP structure.

- Space group: F-43m
- Calculated formation energy: 381 meV per atom
- Magnetic moment: 0.0 μB/f.u.
- DOS(E_F): 2.20 states/eV per cell

Structure (extended XYZ):
```
6
Lattice="-1.734 -6.380 2.218 -6.714 -1.833 0.442 -2.648 -4.647 -4.475" Properties=species:S:1:pos:R:3 pbc="T T T"
K -4.182 -4.846 -0.684
K -5.486 -7.136 -2.888
K -5.036 -7.989 0.409
K -7.489 -5.749 -0.466
Tl 0.000 0.000 0.000
P -8.322 -9.645 -1.361
```